## Rb3CdAg2Br6 (GGA-PBE)

Data for an optimized crystal structure of Rb3CdAg2Br6.

Output
DOS(E_F) = 0.174 states/eV per atom

Structure (CIF):
```
data_Rb3CdAg2Br6
_chemical_formula_sum 'Rb3 Cd1 Ag2 Br6'
_symmetry_space_group_name_H-M 'P -3 m 1'
_symmetry_Int_Tables_number 164
_symmetry_space_group_name_Hall '-P 3 2"'
_cell_length_a 8.3445
_cell_length_b 8.3445
_cell_length_c 8.5377
_cell_angle_alpha 90.00
_cell_angle_beta 90.00
_cell_angle_gamma 120.00
loop_
_atom_site_label
_atom_site_type_symbol
_atom_site_fract_x
_atom_site_fract_y
_atom_site_fract_z
_atom_site_occupancy
Rb1 Rb 0.0000 0.0000 0.0000 1
Rb2 Rb 0.3333 0.6667 0.6130 1
Cd1 Cd 0.0000 0.0000 0.5000 1
Ag1 Ag 0.3333 0.6667 0.1802 1
Br1 Br 0.1621 0.3241 0.2959 1
```

## Rb2CdAgBr6 (GGA-PBE)

Data for an optimized crystal structure of Rb2CdAgBr6.

Output
ΔE to the lowest computed polymorph = 0.000 eV per atom
DOS(E_F) = 0.526 states/eV per atom

Structure (CIF):
```
data_Rb2CdAgBr6
_chemical_formula_sum 'Rb4 Cd2 Ag2 Br12'
_symmetry_space_group_name_H-M 'P 1 21/c 1'
_symmetry_Int_Tables_number 14
_cell_length_a 8.052
_cell_length_b 7.765
_cell_length_c 13.265
_cell_angle_alpha 90.00
_cell_angle_beta 125.30
_cell_angle_gamma 90.00
loop_
_symmetry_equiv_pos_as_xyz
'x,y,z'
'-x,-y,-z'
'-x,y+1/2,-z+1/2'
'x,-y+1/2,z+1/2'
loop_
_atom_site_label
_atom_site_type_symbol
_atom_site_fract_x
_atom_site_fract_y
_atom_site_fract_z
_atom_site_occupancy
Rb1 Rb 0.243 0.037 0.248 1
Cd1 Cd 0.000 0.000 0.500 1
Ag1 Ag 0.500 0.000 0.000 1
Br1 Br 0.166 0.236 0.965 1
Br2 Br 0.261 0.729 0.969 1
Br3 Br 0.329 0.010 0.760 1
```

## CdAg2SnBr6 (GGA-PBE)

Data for an optimized crystal structure of CdAg2SnBr6.

Output
DOS(E_F) = 0.000 states/eV per atom

Structure (CIF):
```
data_CdAg2SnBr6
_chemical_formula_sum 'Cd3 Ag6 Sn3 Br18'
_symmetry_space_group_name_H-M 'R 3'
_symmetry_Int_Tables_number 146
_symmetry_space_group_name_Hall 'R 3'
_cell_length_a 7.2784
_cell_length_b 7.2784
_cell_length_c 19.8179
_cell_angle_alpha 90.00
_cell_angle_beta 90.00
_cell_angle_gamma 120.00
loop_
_atom_site_label
_atom_site_type_symbol
_atom_site_fract_x
_atom_site_fract_y
_atom_site_fract_z
_atom_site_occupancy
Cd1 Cd 0.0000 0.0000 0.0000 1
Ag1 Ag 0.0000 0.0000 0.3093 1
Ag2 Ag 0.0000 0.0000 0.8025 1
Sn1 Sn 0.0000 0.0000 0.5021 1
Br1 Br 0.0101 0.7016 0.9081 1
Br2 Br 0.0157 0.3403 0.0703 1
```

## SrCdAg2Br6 (GGA-PBE)

Data for an optimized crystal structure of SrCdAg2Br6.

Output
DOS(E_F) = 0.000 states/eV per atom

Structure (CIF):
```
data_SrCdAg2Br6
_chemical_formula_sum 'Sr4 Cd4 Ag8 Br24'
_symmetry_space_group_name_H-M 'C 1 2/c 1'
_symmetry_Int_Tables_number 15
_cell_length_a 14.491
_cell_length_b 12.004
_cell_length_c 8.040
_cell_angle_alpha 90.00
_cell_angle_beta 111.61
_cell_angle_gamma 90.00
loop_
_symmetry_equiv_pos_as_xyz
'x,y,z'
'-x,-y,-z'
'-x,y,-z+1/2'
'x,-y,z+1/2'
'x+1/2,y+1/2,z'
'-x+1/2,-y+1/2,-z'
'-x+1/2,y+1/2,-z+1/2'
'x+1/2,-y+1/2,z+1/2'
loop_
_atom_site_label
_atom_site_type_symbol
_atom_site_fract_x
_atom_site_fract_y
_atom_site_fract_z
_atom_site_occupancy
Sr1 Sr 0.000 0.158 0.250 1
Cd1 Cd 0.000 0.188 0.750 1
Ag1 Ag 0.152 0.476 0.229 1
Br1 Br 0.119 0.053 0.649 1
Br2 Br 0.127 0.264 0.049 1
Br3 Br 0.137 0.367 0.499 1
```

## CdAgTeBr (GGA-PBE)

Data for an optimized crystal structure of CdAgTeBr.

Structure (CIF):
```
data_CdAgTeBr
_chemical_formula_sum 'Cd2 Ag2 Te2 Br2'
_symmetry_space_group_name_H-M 'C 1 m 1'
_symmetry_Int_Tables_number 8
_cell_length_a 7.992
_cell_length_b 4.614
_cell_length_c 7.873
_cell_angle_alpha 90.00
_cell_angle_beta 109.79
_cell_angle_gamma 90.00
loop_
_symmetry_equiv_pos_as_xyz
'x,y,z'
'x,-y,z'
'x+1/2,y+1/2,z'
'x+1/2,-y+1/2,z'
loop_
_atom_site_label
_atom_site_type_symbol
_atom_site_fract_x
_atom_site_fract_y
_atom_site_fract_z
_atom_site_occupancy
Cd1 Cd 0.000 0.000 0.000 1
Ag1 Ag 0.494 0.000 0.488 1
Te1 Te 0.373 0.000 0.119 1
Br1 Br 0.374 0.500 0.624 1
```

## TlCd2AgBr6 (GGA-PBE)

Data for an optimized crystal structure of TlCd2AgBr6.

Output
DOS(E_F) = 0.000 states/eV per atom

Structure (CIF):
```
data_TlCd2AgBr6
_chemical_formula_sum 'Tl4 Cd8 Ag4 Br24'
_symmetry_space_group_name_H-M 'C 1 2/c 1'
_symmetry_Int_Tables_number 15
_cell_length_a 14.633
_cell_length_b 13.952
_cell_length_c 7.967
_cell_angle_alpha 90.00
_cell_angle_beta 109.95
_cell_angle_gamma 90.00
loop_
_symmetry_equiv_pos_as_xyz
'x,y,z'
'-x,-y,-z'
'-x,y,-z+1/2'
'x,-y,z+1/2'
'x+1/2,y+1/2,z'
'-x+1/2,-y+1/2,-z'
'-x+1/2,y+1/2,-z+1/2'
'x+1/2,-y+1/2,z+1/2'
loop_
_atom_site_label
_atom_site_type_symbol
_atom_site_fract_x
_atom_site_fract_y
_atom_site_fract_z
_atom_site_occupancy
Tl1 Tl 0.000 0.122 0.250 1
Cd1 Cd 0.189 0.427 0.203 1
Ag1 Ag 0.000 0.222 0.750 1
Br1 Br 0.119 0.069 0.674 1
Br2 Br 0.123 0.428 0.480 1
Br3 Br 0.130 0.256 0.066 1
```

Number 1: formation energy from raw total energies -1099 kJ/mol of formula units. Number 2: formation energy from raw total energies -973 kJ/mol of formula units. Number 3: formation energy from raw total energies -566 kJ/mol of formula units. Number 4: formation energy from raw total energies -937 kJ/mol of formula units. Number 5: formation energy from raw total energies -158 kJ/mol of formula units. Number 6: formation energy from raw total energies -705 kJ/mol of formula units.